(1)
Computed, not measured: a geometry-optimized KHg3Au structure at the PBE-GGA level of DFT.

Cell: 5.4911 5.4911 5.4911 Å, 90.00 90.00 90.00°
Fractional positions:
K: 0.0000 0.0000 0.0000
Hg: 0.0000 0.5000 0.5000
Hg: 0.5000 0.0000 0.5000
Hg: 0.5000 0.5000 0.0000
Au: 0.5000 0.5000 0.5000

Properties
* calculated formation energy: -0.77 eV per formula unit
* final energy: -1.210 eV per atom
* symmetry: Pm-3m, No. 221



(2)
Computed, not measured: a geometry-optimized K5Hg5Au2 structure at the PBE-GGA level of DFT.

Cell: 9.2416 9.2416 12.9153 Å, 129.57 129.57 30.68°
Fractional positions:
K: 0.0000 0.0000 0.0000
K: 0.1158 0.1158 0.4213
K: 0.1982 0.1982 0.8210
K: 0.8018 0.8018 0.1790
K: 0.8842 0.8842 0.5787
Hg: 0.2569 0.2569 0.3205
Hg: 0.4426 0.4426 0.1593
Hg: 0.5000 0.5000 0.5000
Hg: 0.5574 0.5574 0.8407
Hg: 0.7431 0.7431 0.6795
Au: 0.3578 0.3578 0.7437
Au: 0.6422 0.6422 0.2563

Properties
* calculated formation energy: -3.38 eV per formula unit
* final energy: -1.411 eV per atom
* symmetry: C2/m, No. 12



(3)
Computed, not measured: a geometry-optimized K3Hg2Au3 structure at the PBE-GGA level of DFT.

Cell: 6.5000 6.5000 16.3470 Å, 90.00 90.00 135.36°
Fractional positions:
K: 0.0886 0.9114 0.6078
K: 0.0886 0.9114 0.8922
K: 0.3768 0.6232 0.7500
K: 0.6232 0.3768 0.2500
K: 0.9114 0.0886 0.1078
K: 0.9114 0.0886 0.3922
Hg: 0.2064 0.7936 0.0931
Hg: 0.2064 0.7936 0.4069
Hg: 0.7936 0.2064 0.5931
Hg: 0.7936 0.2064 0.9069
Au: 0.3261 0.6739 0.2500
Au: 0.3949 0.6051 0.5370
Au: 0.3949 0.6051 0.9630
Au: 0.6051 0.3949 0.0370
Au: 0.6051 0.3949 0.4630
Au: 0.6739 0.3261 0.7500

Properties
* calculated formation energy: -2.39 eV per formula unit
* final energy: -2.015 eV per atom
* symmetry: Cmcm, No. 63



(4)
Computed, not measured: a geometry-optimized K2Hg3Au2 structure at the PBE-GGA level of DFT.

Cell: 6.3417 6.3417 8.0793 Å, 113.07 113.07 42.93°
Fractional positions:
K: 0.1428 0.1428 0.2781
K: 0.8572 0.8572 0.7219
Hg: 0.3783 0.3783 0.0602
Hg: 0.5000 0.5000 0.5000
Hg: 0.6217 0.6217 0.9398
Au: 0.1424 0.1424 0.7181
Au: 0.8576 0.8576 0.2819

Properties
* calculated formation energy: -1.76 eV per formula unit
* final energy: -1.631 eV per atom
* symmetry: C2/m, No. 12



(5)
Computed, not measured: a geometry-optimized KHg10Au2 structure at the PBE-GGA level of DFT.

Cell: 11.0543 8.6007 8.0363 Å, 83.20 50.59 46.21°
Fractional positions:
K: 0.0000 0.0000 0.0000
Hg: 0.0000 0.5000 0.0000
Hg: 0.0141 0.6417 0.3583
Hg: 0.2930 0.5066 0.4934
Hg: 0.3583 0.9859 0.0141
Hg: 0.4934 0.7070 0.2930
Hg: 0.5000 0.0000 0.5000
Hg: 0.5066 0.2930 0.7070
Hg: 0.6417 0.0141 0.9859
Hg: 0.7070 0.4934 0.5066
Hg: 0.9859 0.3583 0.6417
Au: 0.0000 0.0000 0.5000
Au: 0.5000 0.5000 0.0000

Properties
* calculated formation energy: -0.51 eV per formula unit
* final energy: -0.860 eV per atom
* symmetry: Fmmm, No. 69



(6)
Computed, not measured: a geometry-optimized KHg3Au structure at the PBE-GGA level of DFT.

Cell: 7.3693 7.3693 6.1925 Å, 90.00 90.00 120.00°
Fractional positions:
K: 0.3333 0.6667 0.2500
K: 0.6667 0.3333 0.7500
Hg: 0.1932 0.3864 0.7500
Hg: 0.1932 0.8068 0.7500
Hg: 0.3864 0.1932 0.2500
Hg: 0.6136 0.8068 0.7500
Hg: 0.8068 0.1932 0.2500
Hg: 0.8068 0.6136 0.2500
Au: 0.0000 0.0000 0.0000
Au: 0.0000 0.0000 0.5000

Properties
* calculated formation energy: -0.81 eV per formula unit
* final energy: -1.219 eV per atom
* symmetry: P6_3/mmc, No. 194



(7)
Computed, not measured: a geometry-optimized K3Hg8Au3 structure at the PBE-GGA level of DFT.

Cell: 9.2762 9.2762 10.2674 Å, 122.73 122.73 32.08°
Fractional positions:
K: 0.0000 0.0000 0.0000
K: 0.2900 0.2900 0.2960
K: 0.7100 0.7100 0.7040
Hg: 0.1384 0.1384 0.8434
Hg: 0.1477 0.1477 0.4360
Hg: 0.3456 0.3456 0.9744
Hg: 0.4988 0.4988 0.6653
Hg: 0.5012 0.5012 0.3347
Hg: 0.6544 0.6544 0.0256
Hg: 0.8523 0.8523 0.5640
Hg: 0.8616 0.8616 0.1566
Au: 0.0000 0.0000 0.5000
Au: 0.3470 0.3470 0.7001
Au: 0.6530 0.6530 0.2999

Properties
* calculated formation energy: -2.94 eV per formula unit
* final energy: -1.320 eV per atom
* symmetry: C2/m, No. 12



(8)
Computed, not measured: a geometry-optimized KHg4Au2 structure at the PBE-GGA level of DFT.

Cell: 8.6964 8.6964 4.6271 Å, 90.00 90.00 146.76°
Fractional positions:
K: 0.0000 0.0000 0.0000
Hg: 0.1718 0.8282 0.5000
Hg: 0.3147 0.6853 0.0000
Hg: 0.6853 0.3147 0.0000
Hg: 0.8282 0.1718 0.5000
Au: 0.4196 0.5804 0.5000
Au: 0.5804 0.4196 0.5000

Properties
* calculated formation energy: -0.90 eV per formula unit
* final energy: -1.394 eV per atom
* symmetry: Cmmm, No. 65



(9)
Computed, not measured: a geometry-optimized KHg8Au4 structure at the PBE-GGA level of DFT.

Cell: 9.1410 9.1410 9.1410 Å, 55.38 55.38 55.38°
Fractional positions:
K: 0.0000 0.0000 0.0000
Hg: 0.2708 0.2708 0.2708
Hg: 0.2751 0.2751 0.6927
Hg: 0.2751 0.6927 0.2751
Hg: 0.3073 0.7249 0.7249
Hg: 0.6927 0.2751 0.2751
Hg: 0.7249 0.3073 0.7249
Hg: 0.7249 0.7249 0.3073
Hg: 0.7292 0.7292 0.7292
Au: 0.0000 0.5000 0.5000
Au: 0.5000 0.0000 0.5000
Au: 0.5000 0.5000 0.0000
Au: 0.5000 0.5000 0.5000

Properties
* calculated formation energy: 1.40 eV per formula unit
* final energy: -1.171 eV per atom
* symmetry: R-3m, No. 166



(10)
Computed, not measured: a geometry-optimized K5Hg12Au2 structure at the PBE-GGA level of DFT.

Cell: 10.5986 10.5986 8.0630 Å, 102.73 102.73 43.01°
Fractional positions:
K: 0.0000 0.0000 0.0000
K: 0.2407 0.2407 0.9049
K: 0.3193 0.3193 0.4479
K: 0.6807 0.6807 0.5521
K: 0.7593 0.7593 0.0951
Hg: 0.0423 0.6466 0.7689
Hg: 0.0873 0.0873 0.5173
Hg: 0.1843 0.6070 0.1663
Hg: 0.3534 0.9577 0.2311
Hg: 0.3930 0.8157 0.8337
Hg: 0.4570 0.4570 0.8043
Hg: 0.5430 0.5430 0.1957
Hg: 0.6070 0.1843 0.1663
Hg: 0.6466 0.0423 0.7689
Hg: 0.8157 0.3930 0.8337
Hg: 0.9127 0.9127 0.4827
Hg: 0.9577 0.3534 0.2311
Au: 0.3161 0.6839 0.5000
Au: 0.6839 0.3161 0.5000

Properties
* calculated formation energy: -3.49 eV per formula unit
* final energy: -1.008 eV per atom
* symmetry: C2/m, No. 12



(11)
Computed, not measured: a geometry-optimized K12Hg5Au3 structure at the PBE-GGA level of DFT.

Cell: 17.3225 17.3225 17.3225 Å, 109.47 109.47 109.47°
Fractional positions:
K: 0.0627 0.2340 0.1309
K: 0.0627 0.3287 0.9318
K: 0.0682 0.6309 0.3969
K: 0.0682 0.9373 0.6713
K: 0.1031 0.7340 0.6713
K: 0.1031 0.8691 0.4318
K: 0.1309 0.0627 0.2340
K: 0.1309 0.5682 0.8969
K: 0.1713 0.2340 0.6031
K: 0.1713 0.4373 0.5682
K: 0.2340 0.1309 0.0627
K: 0.2340 0.6031 0.1713
K: 0.2660 0.3287 0.8969
K: 0.2660 0.4373 0.3691
K: 0.3287 0.8969 0.2660
K: 0.3287 0.9318 0.0627
K: 0.3691 0.2660 0.4373
K: 0.3691 0.6031 0.9318
K: 0.3969 0.0682 0.6309
K: 0.3969 0.8287 0.7660
K: 0.4318 0.1031 0.8691
K: 0.4318 0.8287 0.5627
K: 0.4373 0.3691 0.2660
K: 0.4373 0.5682 0.1713
K: 0.5627 0.4318 0.8287
K: 0.5627 0.6309 0.7340
K: 0.5682 0.1713 0.4373
K: 0.5682 0.8969 0.1309
K: 0.6031 0.1713 0.2340
K: 0.6031 0.9318 0.3691
K: 0.6309 0.3969 0.0682
K: 0.6309 0.7340 0.5627
K: 0.6713 0.0682 0.9373
K: 0.6713 0.1031 0.7340
K: 0.7340 0.5627 0.6309
K: 0.7340 0.6713 0.1031
K: 0.7660 0.3969 0.8287
K: 0.7660 0.8691 0.9373
K: 0.8287 0.5627 0.4318
K: 0.8287 0.7660 0.3969
K: 0.8691 0.4318 0.1031
K: 0.8691 0.9373 0.7660
K: 0.8969 0.1309 0.5682
K: 0.8969 0.2660 0.3287
K: 0.9318 0.0627 0.3287
K: 0.9318 0.3691 0.6031
K: 0.9373 0.6713 0.0682
K: 0.9373 0.7660 0.8691
Hg: 0.0000 0.0000 0.0000
Hg: 0.0000 0.0000 0.5000
Hg: 0.0000 0.5000 0.0000
Hg: 0.0000 0.5000 0.5000
Hg: 0.1250 0.7500 0.8750
Hg: 0.1250 0.8750 0.2500
Hg: 0.2500 0.1250 0.8750
Hg: 0.2500 0.6250 0.3750
Hg: 0.3750 0.2500 0.6250
Hg: 0.3750 0.6250 0.7500
Hg: 0.5000 0.0000 0.0000
Hg: 0.5000 0.0000 0.5000
Hg: 0.5000 0.5000 0.0000
Hg: 0.5000 0.5000 0.5000
Hg: 0.6250 0.3750 0.2500
Hg: 0.6250 0.7500 0.3750
Hg: 0.7500 0.3750 0.6250
Hg: 0.7500 0.8750 0.1250
Hg: 0.8750 0.1250 0.7500
Hg: 0.8750 0.2500 0.1250
Au: 0.1250 0.2500 0.3750
Au: 0.1250 0.3750 0.7500
Au: 0.2500 0.3750 0.1250
Au: 0.2500 0.8750 0.6250
Au: 0.3750 0.1250 0.2500
Au: 0.3750 0.7500 0.1250
Au: 0.6250 0.2500 0.8750
Au: 0.6250 0.8750 0.7500
Au: 0.7500 0.1250 0.3750
Au: 0.7500 0.6250 0.8750
Au: 0.8750 0.6250 0.2500
Au: 0.8750 0.7500 0.6250

Properties
* calculated formation energy: -1.06 eV per formula unit
* final energy: -1.279 eV per atom
* symmetry: Ia-3d, No. 230



(12)
Computed, not measured: a geometry-optimized KHg3Au structure at the PBE-GGA level of DFT.

Cell: 6.3567 6.3567 6.3567 Å, 90.00 90.00 90.00°
Fractional positions:
K: 0.0000 0.0000 0.0000
Hg: 0.0000 0.0000 0.5000
Hg: 0.0000 0.5000 0.0000
Hg: 0.5000 0.0000 0.0000
Au: 0.5000 0.5000 0.5000

Properties
* calculated formation energy: 1.75 eV per formula unit
* final energy: -0.706 eV per atom
* symmetry: Pm-3m, No. 221



Which of these has the lowest final energy? K3Hg2Au3



Copy entry 4 word for word.
Computed, not measured: a geometry-optimized K2Hg3Au2 structure at the PBE-GGA level of DFT.

Cell: 6.3417 6.3417 8.0793 Å, 113.07 113.07 42.93°
Fractional positions:
K: 0.1428 0.1428 0.2781
K: 0.8572 0.8572 0.7219
Hg: 0.3783 0.3783 0.0602
Hg: 0.5000 0.5000 0.5000
Hg: 0.6217 0.6217 0.9398
Au: 0.1424 0.1424 0.7181
Au: 0.8576 0.8576 0.2819

Properties
* calculated formation energy: -1.76 eV per formula unit
* final energy: -1.631 eV per atom
* symmetry: C2/m, No. 12



Which of these has the lowest final energy? K3Hg2Au3